MnIn2Ru (GGA-PBE, relaxed); polymorph energy (0 for the lowest one) = 0.018 eV per atom; space-group type = P4mm (99); ΔH_f (0 K) = 3.4 kcal/mol of atoms; crystal system = tetragonal; M_tot = 3.1 μB per formula unit
1.0
-0.7934 2.9683 -0.2506
-2.8453 -0.8318 -0.8448
-2.2337 0.0351 7.4888
Ru Mn In
1 1 2
direct
0.5000 0.5000 0.7100
0.0000 0.0000 0.5411
0.5000 0.5000 0.3006
0.0000 0.0000 0.9483



HfTa4Tc (GGA-PBE, relaxed); space-group type = C2/m (12); ΔH_f (0 K) = -3.0 kcal/mol of atoms; crystal system = monoclinic; M_tot = 0.0 μB per formula unit
1.0
4.3092 0.0000 1.8779
1.4349 4.5894 2.5904
0.1514 -0.0212 5.5356
Ta Hf Tc
4 1 1
direct
0.3179 0.5244 0.8399
0.3460 0.9941 0.3140
0.6540 0.0059 0.6860
0.6821 0.4756 0.1601
0.0000 0.5000 0.5000
0.0000 0.0000 0.0000



TbEuDyHo (GGA-PBE, relaxed); space-group type = F-43m (216); ΔH_f (0 K) = 3.8 kcal/mol of atoms; crystal system = cubic; M_tot = 8.2 μB per formula unit
1.0
5.7361 0.0000 0.0000
2.8680 4.9676 0.0000
2.8680 1.6559 4.6835
Ho Eu Dy Tb
1 1 1 1
direct
0.7500 0.7500 0.7500
0.2500 0.2500 0.2500
0.5000 0.5000 0.5000
0.0000 0.0000 0.0000



Ti2Tl3CrS6 (GGA-PBE, relaxed); space-group type = C2/m (12); crystal system = monoclinic; ΔE_f (raw) = -82.8 kJ/mol of atoms; M_tot = 2.4 μB per formula unit
1.0
5.9680 -0.0008 -0.0018
-2.9832 5.1689 -0.0018
-0.9977 -1.7275 8.3120
S Tl Ti Cr
6 3 2 1
direct
0.3847 0.0566 0.1688
0.0566 0.3847 0.1688
0.7286 0.7286 0.1690
0.6153 0.9434 0.8312
0.9434 0.6153 0.8312
0.2714 0.2714 0.8310
0.5000 0.5000 0.5000
0.1660 0.8340 0.5000
0.8340 0.1660 0.5000
0.6666 0.3334 0.0000
0.3334 0.6666 0.0000
0.0000 0.0000 0.0000



FePtS2N (GGA-PBE, relaxed); polymorph energy (0 for the lowest one) = 0.360 eV per atom; space-group type = P4/mmm (123); crystal system = tetragonal; ΔE_f (raw) = 88.9 kJ/mol of atoms; M_tot = 3.8 μB per formula unit
1.0
4.9385 0.0000 0.0000
0.0000 4.9385 0.0000
0.0000 0.0000 3.6518
S Pt Fe N
2 1 1 1
direct
0.5000 0.0000 0.0000
0.0000 0.5000 0.0000
0.0000 0.0000 0.0000
0.5000 0.5000 0.5000
0.0000 0.0000 0.5000



La3Pr2Sn4 (GGA-PBE, relaxed); polymorph energy (0 for the lowest one) = 0.000 eV per atom; space-group type = P2_1/c (14); ΔH_f (0 K) = -18.0 kcal/mol of atoms; crystal system = monoclinic; M_tot = 0.0 μB per formula unit
1.0
-7.5299 3.5695 -0.3030
1.5133 -8.9864 3.3901
1.2015 3.2118 7.9775
Sn Pr La
8 4 6
direct
0.6157 0.4868 0.6309
0.7419 0.0795 0.4638
0.3843 0.5132 0.3691
0.1157 0.4868 0.8691
0.8843 0.5132 0.1309
0.7581 0.9205 0.9638
0.2581 0.9205 0.5362
0.2419 0.0795 0.0362
0.4933 0.7552 0.6718
0.0067 0.2448 0.1718
0.9933 0.7552 0.8282
0.5067 0.2448 0.3282
0.3736 0.8061 0.1823
0.6264 0.1939 0.8177
0.8736 0.8061 0.3177
0.1264 0.1939 0.6823
0.5000 0.5000 0.0000
0.0000 0.5000 0.5000



- What is the M_tot in the sixth record?
  0.0 μB per formula unit